Here is a relaxed structure of Rb2ZrSnSe4 from Alexandria via LeMat-Bulk. Energies are from PBE-GGA.

Unit cell a=7.3530 b=8.2192 c=12.4306 alpha=82.40 beta=72.80 gamma=63.43
With the nearest neighbours (Å) after each atom.
Fractional coordinates of all 16 atoms:
Se  0.4946  0.6971  0.3847  1 Zr 2.54
Se  0.8083  0.6971  0.6153  1 Zr 2.54
Se  0.1736  0.1971  0.8847  1 Zr 2.54
Se  0.1207  0.3029  0.3847  1 Zr 2.54
Se  0.2554  0.8029  0.1153  1 Zr 2.54
Se  0.6293  0.1971  0.1153  1 Zr 2.54
Se  0.9417  0.8029  0.8847  1 Zr 2.54
Se  0.5764  0.3029  0.6153  1 Zr 2.54
Zr  0.7500  0.5000  0.5000  4 Se 2.54
Zr  0.0000  0.0000  0.0000  4 Se 2.54
Sn  0.2500  0.5000  0.5000  4 Se 2.90
Sn  0.5000  0.0000  0.0000  4 Se 2.90
Rb  0.9334  0.5000  0.1332  6 Se 3.67-4.08
Rb  0.5666  0.5000  0.8668  6 Se 3.67-4.08
Rb  0.8166  0.0000  0.3668  6 Se 3.67-4.08
Rb  0.1834  0.0000  0.6332  6 Se 3.67-4.08

Results
Mass density (Mg/m³): 3.605
Calculated volume (Å³ per cell): 642
Total magnetic moment (Bohr magnetons per cell): 0.00
Energy relative to the elements, uncorrected (meV per atom): -1048
VASP energy (eV/f.u.): -36.8

***

Here is a relaxed structure of TbPm2DySe5 from Alexandria via LeMat-Bulk. Energies are from PBE-GGA.

Unit cell a=5.1753 b=5.1753 c=10.7670 alpha=90.00 beta=90.00 gamma=90.00
With the nearest neighbours (Å) after each atom.
Fractional coordinates of all 9 atoms:
Se  0.0000  0.0000  0.7549  1 Dy 2.64, 1 Tb 2.74
Se  0.0000  0.0000  0.2451  1 Dy 2.64, 1 Tb 2.74
Se  0.5000  0.0000  0.5000  2 Tb 2.59
Se  0.0000  0.5000  0.5000  2 Tb 2.59
Se  0.5000  0.5000  0.0000  2 Pm 3.55, 4 Dy 3.66
Pm  0.5000  0.5000  0.6703  5 Se 3.17-3.55
Pm  0.5000  0.5000  0.3297  5 Se 3.17-3.55
Tb  0.0000  0.0000  0.5000  6 Se 2.59-2.74
Dy  0.0000  0.0000  0.0000  2 Se 2.64

Results
Mass density (Mg/m³): 5.794
Calculated volume (Å³ per cell): 288
Total magnetic moment (Bohr magnetons per cell): 0.10
Energy relative to the elements, uncorrected (meV per atom): -1210
VASP energy (eV/f.u.): -47.0

***

Here is a relaxed structure of KRuPt2 from Alexandria via LeMat-Bulk. Energies are from PBE-GGA.

Unit cell a=5.1585 b=5.1585 c=2.7398 alpha=90.00 beta=90.00 gamma=109.39
With the nearest neighbours (Å) after each atom.
Fractional coordinates of all 4 atoms:
Pt  0.5000  0.5000  0.0000  4 Pt 2.74-2.98, 4 Ru 2.92, 4 K 2.92
Pt  0.0000  0.0000  0.0000  4 Pt 2.74-2.98, 4 K 2.92, 4 Ru 2.92
Ru  0.5000  0.0000  0.5000  2 Ru 2.74, 8 Pt 2.92, 2 K 2.98
K  0.0000  0.5000  0.5000  2 K 2.74, 8 Pt 2.92, 2 Ru 2.98

Results
Mass density (Mg/m³): 12.806
Energy relative to the elements (meV/atom): 517
Calculated volume (Å³ per cell): 69
Total magnetic moment (Bohr magnetons per cell): 0.42
Relative energy among the computed polymorphs (meV per atom): 367.3
VASP energy (eV/f.u.): -20.4

***

Here is a relaxed structure of YNi2 from Alexandria via LeMat-Bulk. Energies are from PBE-GGA.

Unit cell a=6.2301 b=6.2301 c=6.2301 alpha=90.00 beta=90.00 gamma=90.00
With the nearest neighbours (Å) after each atom.
Fractional coordinates of all 12 atoms:
Y  0.5000  0.0000  0.5000  6 Ni 2.63
Y  0.5000  0.5000  0.0000  6 Ni 2.63
Y  0.0000  0.5000  0.5000  6 Ni 2.63
Y  0.0000  0.0000  0.0000  6 Ni 2.63
Ni  0.6040  0.8960  0.1040  1 Ni 2.24
Ni  0.3960  0.3960  0.3960  1 Ni 2.24
Ni  0.8960  0.1040  0.6040  1 Ni 2.24
Ni  0.1040  0.6040  0.8960  1 Ni 2.24
Ni  0.1040  0.8960  0.3960  1 Ni 2.24
Ni  0.8960  0.3960  0.1040  1 Ni 2.24
Ni  0.3960  0.1040  0.8960  1 Ni 2.24
Ni  0.6040  0.6040  0.6040  1 Ni 2.24

Results
Mass density (Mg/m³): 5.666
Energy relative to the elements (meV/atom): 508
Calculated volume (Å³ per cell): 242
Total magnetic moment (Bohr magnetons per cell): 0.00
VASP energy (eV/f.u.): -16.5

***

Here is a relaxed structure of UAsCl3 from Alexandria via LeMat-Bulk. Energies are from PBE-GGA.

Unit cell a=7.4573 b=7.3706 c=14.1718 alpha=90.00 beta=91.03 gamma=90.00
With the nearest neighbours (Å) after each atom.
Fractional coordinates of all 20 atoms:
Cl  0.2173  0.5576  0.2882  2 U 2.71-2.80
Cl  0.6241  0.2792  0.4294  1 U 2.51
Cl  0.2173  0.4424  0.7882  2 U 2.71-2.80
Cl  0.8938  0.2873  0.9738  2 U 2.72-2.73
Cl  0.8938  0.7127  0.4738  2 U 2.72-2.73
Cl  0.3759  0.7208  0.5706  1 U 2.51
Cl  0.1062  0.2873  0.5262  2 U 2.72-2.73
Cl  0.6241  0.7208  0.9294  1 U 2.51
Cl  0.7827  0.5576  0.2118  2 U 2.71-2.80
Cl  0.7827  0.4424  0.7118  2 U 2.71-2.80
Cl  0.1062  0.7127  0.0262  2 U 2.72-2.73
Cl  0.3759  0.2792  0.0706  1 U 2.51
U  0.0828  0.5999  0.6290  5 Cl 2.51-2.80
U  0.9172  0.4001  0.3710  5 Cl 2.51-2.80
U  0.9172  0.5999  0.8710  5 Cl 2.51-2.80
U  0.0828  0.4001  0.1290  5 Cl 2.51-2.80
As  0.8596  0.9045  0.7199  1 As 2.25
As  0.1404  0.9045  0.7801  1 As 2.25
As  0.1404  0.0955  0.2801  1 As 2.25
As  0.8596  0.0955  0.2199  1 As 2.25

Results
Mass density (Mg/m³): 3.576
Calculated volume (Å³ per cell): 779
Total magnetic moment (Bohr magnetons per cell): 11.81
Energy relative to the elements, uncorrected (meV per atom): -1174
VASP energy (eV/f.u.): -27.3

***

Here is a relaxed structure of KCe5Te6 from Alexandria via LeMat-Bulk. Energies are from PBE-GGA.

Unit cell a=7.9615 b=7.8549 c=7.8504 alpha=59.98 beta=80.52 gamma=70.79
With the nearest neighbours (Å) after each atom.
Fractional coordinates of all 12 atoms:
Te  0.7437  0.0858  0.3419  5 Ce 3.19-3.23, 1 K 3.30
Te  0.2563  0.5723  0.3419  5 Ce 3.19-3.23, 1 K 3.30
Te  0.2509  0.2582  0.0000  5 Ce 3.17-3.21, 1 K 3.28
Te  0.2563  0.9142  0.6581  5 Ce 3.19-3.23, 1 K 3.30
Te  0.7437  0.4277  0.6581  5 Ce 3.19-3.23, 1 K 3.30
Te  0.7491  0.7418  0.0000  5 Ce 3.17-3.21, 1 K 3.28
Ce  0.0000  0.6673  0.6654  6 Te 3.21-3.22
Ce  0.5000  0.1617  0.6766  6 Te 3.19-3.23
Ce  0.5000  0.5000  0.0000  6 Te 3.17-3.22
Ce  0.5000  0.8383  0.3234  6 Te 3.19-3.23
Ce  0.0000  0.3327  0.3346  6 Te 3.21-3.22
K  0.0000  0.0000  0.0000  6 Te 3.28-3.30

Results
Mass density (Mg/m³): 6.227
Calculated volume (Å³ per cell): 401
Total magnetic moment (Bohr magnetons per cell): 1.30
Energy relative to the elements, uncorrected (meV per atom): -1318
VASP energy (eV/f.u.): -65.4

***

Here is a relaxed structure of Dy2MnAl4Pt3 from Alexandria via LeMat-Bulk. Energies are from PBE-GGA.

Unit cell a=4.0997 b=4.0997 c=10.9222 alpha=90.00 beta=90.00 gamma=90.00
With the nearest neighbours (Å) after each atom.
Fractional coordinates of all 10 atoms:
Pt  0.0000  0.0000  0.5000  4 Al 2.52
Pt  0.0000  0.5000  0.1373  5 Al 2.49-2.54
Pt  0.5000  0.0000  0.8627  5 Al 2.49-2.54
Dy  0.0000  0.5000  0.7473  8 Al 3.15-3.44, 6 Pt 3.16-3.39, 2 Mn 3.39
Dy  0.5000  0.0000  0.2527  8 Al 3.15-3.44, 6 Pt 3.16-3.39, 2 Mn 3.39
Al  0.0000  0.5000  0.3655  3 Pt 2.49-2.52, 2 Mn 2.52
Al  0.5000  0.0000  0.6345  3 Pt 2.49-2.52, 2 Mn 2.52
Al  0.0000  0.0000  0.0000  4 Pt 2.54
Al  0.5000  0.5000  0.0000  4 Pt 2.54
Mn  0.5000  0.5000  0.5000  4 Al 2.52

Results
Mass density (Mg/m³): 9.707
Energy relative to the elements (meV/atom): -922
Calculated volume (Å³ per cell): 184
Total magnetic moment (Bohr magnetons per cell): 2.82
VASP energy (eV/f.u.): -60.7

***

Here is a relaxed structure of SnBiP from Alexandria via LeMat-Bulk. Energies are from PBE-GGA.

Unit cell a=5.1212 b=4.2079 c=8.9943 alpha=90.00 beta=103.53 gamma=90.00
With the nearest neighbours (Å) after each atom.
Fractional coordinates of all 6 atoms:
P  0.9610  0.5000  0.8186  1 P 2.17
P  0.9934  0.5000  0.5828  1 P 2.17
Sn  0.6672  0.0000  0.8578  2 P 2.66, 1 Sn 2.95
Sn  0.2962  0.0000  0.5524  2 P 2.67, 1 Sn 2.95
Bi  0.0586  0.0000  0.2070  2 Sn 3.06-3.31, 2 Bi 3.08
Bi  0.3822  0.5000  0.0760  1 P 2.77, 2 Bi 3.08

Results
Mass density (Mg/m³): 6.321
Energy relative to the elements (meV/atom): 94
Calculated volume (Å³ per cell): 188
Total magnetic moment (Bohr magnetons per cell): 0.00
Relative energy among the computed polymorphs (meV per atom): 44.8
VASP energy (eV/f.u.): -13.0

***

Here is a relaxed structure of Ti2BeW from Alexandria via LeMat-Bulk. Energies are from PBE-GGA.

Unit cell a=2.8136 b=2.8136 c=9.1864 alpha=81.19 beta=81.19 gamma=60.00
With the nearest neighbours (Å) after each atom.
Fractional coordinates of all 4 atoms:
Ti  0.9042  0.9042  0.2873  3 Be 2.52, 1 W 2.60, 6 Ti 2.81
Ti  0.0958  0.0958  0.7127  3 Be 2.52, 1 W 2.60, 6 Ti 2.81
Be  0.5000  0.5000  0.5000  6 Ti 2.52, 6 Be 2.81
W  0.0000  0.0000  0.0000  2 Ti 2.60, 6 W 2.81

Results
Mass density (Mg/m³): 7.731
Energy relative to the elements (meV/atom): 394
Calculated volume (Å³ per cell): 62
Total magnetic moment (Bohr magnetons per cell): 0.00
VASP energy (eV/f.u.): -30.9

***

Here is a relaxed structure of Tl3SbPb3 from Alexandria via LeMat-Bulk. Energies are from PBE-GGA.

Unit cell a=8.5040 b=8.5040 c=8.5040 alpha=90.00 beta=90.00 gamma=90.00
With the nearest neighbours (Å) after each atom.
Fractional coordinates of all 14 atoms:
Pb  0.0000  0.7500  0.5000  4 Tl 3.01
Pb  0.2500  0.5000  0.0000  4 Tl 3.01
Pb  0.5000  0.0000  0.7500  4 Tl 3.01
Pb  0.0000  0.2500  0.5000  4 Tl 3.01
Pb  0.7500  0.5000  0.0000  4 Tl 3.01
Pb  0.5000  0.0000  0.2500  4 Tl 3.01
Tl  0.0000  0.5000  0.7500  4 Pb 3.01
Tl  0.5000  0.2500  0.0000  4 Pb 3.01
Tl  0.2500  0.0000  0.5000  4 Pb 3.01
Tl  0.5000  0.7500  0.0000  4 Pb 3.01
Tl  0.0000  0.5000  0.2500  4 Pb 3.01
Tl  0.7500  0.0000  0.5000  4 Pb 3.01
Sb  0.0000  0.0000  0.0000  12 Tl 4.75, 12 Pb 4.75
Sb  0.5000  0.5000  0.5000  12 Tl 4.75, 12 Pb 4.75

Results
Mass density (Mg/m³): 7.326
Calculated volume (Å³ per cell): 615
Total magnetic moment (Bohr magnetons per cell): 3.18
Relative energy among the computed polymorphs (meV per atom): 620.3
Energy relative to the elements, uncorrected (meV per atom): 684
VASP energy (eV/f.u.): -17.6

***

Please write out number 2 again, unchanged.
Here is a relaxed structure of TbPm2DySe5 from Alexandria via LeMat-Bulk. Energies are from PBE-GGA.

Unit cell a=5.1753 b=5.1753 c=10.7670 alpha=90.00 beta=90.00 gamma=90.00
With the nearest neighbours (Å) after each atom.
Fractional coordinates of all 9 atoms:
Se  0.0000  0.0000  0.7549  1 Dy 2.64, 1 Tb 2.74
Se  0.0000  0.0000  0.2451  1 Dy 2.64, 1 Tb 2.74
Se  0.5000  0.0000  0.5000  2 Tb 2.59
Se  0.0000  0.5000  0.5000  2 Tb 2.59
Se  0.5000  0.5000  0.0000  2 Pm 3.55, 4 Dy 3.66
Pm  0.5000  0.5000  0.6703  5 Se 3.17-3.55
Pm  0.5000  0.5000  0.3297  5 Se 3.17-3.55
Tb  0.0000  0.0000  0.5000  6 Se 2.59-2.74
Dy  0.0000  0.0000  0.0000  2 Se 2.64

Results
Mass density (Mg/m³): 5.794
Calculated volume (Å³ per cell): 288
Total magnetic moment (Bohr magnetons per cell): 0.10
Energy relative to the elements, uncorrected (meV per atom): -1210
VASP energy (eV/f.u.): -47.0

***

> Which formula does entry 4 have?

YNi2

***

Copy entry 4 word for word.
Here is a relaxed structure of YNi2 from Alexandria via LeMat-Bulk. Energies are from PBE-GGA.

Unit cell a=6.2301 b=6.2301 c=6.2301 alpha=90.00 beta=90.00 gamma=90.00
With the nearest neighbours (Å) after each atom.
Fractional coordinates of all 12 atoms:
Y  0.5000  0.0000  0.5000  6 Ni 2.63
Y  0.5000  0.5000  0.0000  6 Ni 2.63
Y  0.0000  0.5000  0.5000  6 Ni 2.63
Y  0.0000  0.0000  0.0000  6 Ni 2.63
Ni  0.6040  0.8960  0.1040  1 Ni 2.24
Ni  0.3960  0.3960  0.3960  1 Ni 2.24
Ni  0.8960  0.1040  0.6040  1 Ni 2.24
Ni  0.1040  0.6040  0.8960  1 Ni 2.24
Ni  0.1040  0.8960  0.3960  1 Ni 2.24
Ni  0.8960  0.3960  0.1040  1 Ni 2.24
Ni  0.3960  0.1040  0.8960  1 Ni 2.24
Ni  0.6040  0.6040  0.6040  1 Ni 2.24

Results
Mass density (Mg/m³): 5.666
Energy relative to the elements (meV/atom): 508
Calculated volume (Å³ per cell): 242
Total magnetic moment (Bohr magnetons per cell): 0.00
VASP energy (eV/f.u.): -16.5

***

> Which value of total magnetic moment does entry 7 give?

2.82 Bohr magnetons per cell